1.
## InReSN2 (meta-GGA SCAN)

Data for InReSN2 at its PBEsol-relaxed geometry.

extended XYZ file:
```
5
Lattice="4.0491 0.0000 0.0000 0.0000 4.0491 0.0000 0.0000 0.0000 5.0681" Properties=species:S:1:pos:R:3 pbc="T T T"
In 0.0000 0.0000 0.0000
Re 2.0245 2.0245 2.5341
S 0.0000 0.0000 2.5341
N 0.0000 2.0245 0.0000
N 2.0245 0.0000 0.0000
```

Results
Raw total energy: -122.002 eV/cell
Formation energy (no corrections): 10.69 eV/f.u.

***

2.
## Sr3Zn3TeP2O14 (meta-GGA SCAN)

Data for Sr3Zn3TeP2O14 at its PBEsol-relaxed geometry.

extended XYZ file:
```
23
Lattice="8.2814 0.0000 0.0000 -4.1407 7.1719 0.0000 0.0000 0.0000 5.1875" Properties=species:S:1:pos:R:3 pbc="T T T"
Sr -1.7812 3.0852 0.0000
Sr 3.5624 0.0000 0.0000
Sr 2.3595 4.0868 0.0000
Zn -3.1555 5.4654 2.5937
Zn 0.9852 1.7065 2.5937
Zn 6.3109 0.0000 2.5937
Te 0.0000 0.0000 0.0000
P 0.0000 4.7813 2.8713
P 4.1407 2.3906 2.3162
O -0.1622 1.5941 1.0964
O -2.6791 6.5153 1.0964
O -1.4242 4.9364 3.4846
O 1.4616 0.6566 4.0911
O 0.5777 3.4703 3.4846
O 0.0000 4.7813 1.3333
O 2.7165 2.2355 1.7029
O 0.8465 5.9371 3.4846
O 4.1407 2.3906 3.8542
O 4.9872 1.2348 1.7029
O 2.8412 6.2344 1.0964
O 4.7184 3.7016 1.7029
O 3.9785 5.5778 4.0911
O 6.9819 0.9375 4.0911
```

Results
Raw total energy: -309.118 eV/cell
Formation energy (no corrections): -56.46 eV/f.u.

***

3.
## Ta2AlTl (meta-GGA SCAN)

Data for Ta2AlTl at its PBEsol-relaxed geometry.

extended XYZ file:
```
4
Lattice="1.4919 0.8614 9.5732 -1.4919 0.8614 9.5732 0.0000 -1.7227 9.5732" Properties=species:S:1:pos:R:3 pbc="T T T"
Ta 0.0000 0.0000 7.0872
Ta 0.0000 0.0000 21.6325
Al 0.0000 0.0000 14.3599
Tl 0.0000 0.0000 0.0000
```

Results
ΔE_f: 0.265 eV/atom
Raw total energy: -212.218 eV/cell

***

4.
## Zr2TlSbN (meta-GGA SCAN)

Data for Zr2TlSbN at its PBEsol-relaxed geometry.

extended XYZ file:
```
5
Lattice="5.3832 0.0000 0.0000 0.0000 5.3832 0.0000 0.0000 0.0000 4.0613" Properties=species:S:1:pos:R:3 pbc="T T T"
Zr 0.0000 2.6916 0.0000
Zr 2.6916 0.0000 0.0000
Tl 0.0000 0.0000 0.0000
Sb 2.6916 2.6916 2.0306
N 0.0000 0.0000 2.0306
```

Results
Raw total energy: -174.903 eV/cell
Formation energy (no corrections): 5.40 eV/f.u.

***

5.
## ZrIn2Se (meta-GGA SCAN)

Data for ZrIn2Se at its PBEsol-relaxed geometry.

extended XYZ file:
```
4
Lattice="-2.0190 2.0190 5.2126 2.0190 -2.0190 5.2126 2.0190 2.0190 -5.2126" Properties=species:S:1:pos:R:3 pbc="T T T"
Zr 0.0000 0.0000 0.0000
In 2.0190 0.0000 2.6063
In 0.0000 2.0190 2.6063
Se 0.0000 0.0000 5.2126
```

Results
Raw total energy: -118.933 eV/cell
Formation energy (no corrections): -1.38 eV/f.u.

***

6.
## Tl5Sb (meta-GGA SCAN)

Data for Tl5Sb at its PBEsol-relaxed geometry.

extended XYZ file:
```
6
Lattice="6.4368 -1.7675 0.0000 6.4368 1.7675 0.0000 -2.3333 0.0000 7.4817" Properties=species:S:1:pos:R:3 pbc="T T T"
Tl 0.0000 0.0000 0.0000
Tl -1.0918 0.0000 4.1782
Tl 4.0562 0.0000 1.6702
Tl 7.7854 0.0000 2.6475
Tl 6.9221 0.0000 6.5902
Sb 2.7366 0.0000 5.0476
```

Results
Raw total energy: -398.965 eV/cell
Formation energy (no corrections): 0.09 eV/f.u.

***

7.
## Li8Au (meta-GGA SCAN)

Data for Li8Au at its PBEsol-relaxed geometry.

extended XYZ file:
```
9
Lattice="-4.2913 4.2913 2.1192 4.2913 -4.2913 2.1192 4.2913 4.2913 -2.1192" Properties=species:S:1:pos:R:3 pbc="T T T"
Li 2.7347 0.0000 0.0000
Li 5.8479 0.0000 0.0000
Li 0.0000 2.7347 0.0000
Li 2.9660 2.9660 0.0000
Li 1.3253 -1.3253 2.1192
Li -1.3253 1.3253 2.1192
Li 1.3253 1.3253 2.1192
Li 0.0000 5.8479 0.0000
Au 0.0000 0.0000 0.0000
```

Results
ΔE_f: -0.218 eV/atom
Raw total energy: -90.239 eV/cell

***

8.
## Rb3GeOs (meta-GGA SCAN)

Data for Rb3GeOs at its PBEsol-relaxed geometry.

extended XYZ file:
```
5
Lattice="6.2360 0.0000 0.0000 0.0000 6.2360 0.0000 0.0000 0.0000 6.2360" Properties=species:S:1:pos:R:3 pbc="T T T"
Rb 0.0000 0.0000 3.1180
Rb 0.0000 3.1180 0.0000
Rb 3.1180 0.0000 0.0000
Ge 3.1180 3.1180 3.1180
Os 0.0000 0.0000 0.0000
```

Results
ΔE_f: 1.341 eV/atom
Raw total energy: -146.478 eV/cell

***

9.
## Na3CaMn (meta-GGA SCAN)

Data for Na3CaMn at its PBEsol-relaxed geometry.

extended XYZ file:
```
5
Lattice="6.1833 0.0000 0.0000 0.0000 6.1833 0.0000 0.0000 0.0000 6.1833" Properties=species:S:1:pos:R:3 pbc="T T T"
Na 0.0000 0.0000 3.0917
Na 0.0000 3.0917 0.0000
Na 3.0917 0.0000 0.0000
Ca 0.0000 0.0000 0.0000
Mn 3.0917 3.0917 3.0917
```

Results
ΔE_f: 0.993 eV/atom
Raw total energy: -35.600 eV/cell

***

10.
## BaScAs2 (meta-GGA SCAN)

Data for BaScAs2 at its PBEsol-relaxed geometry.

extended XYZ file:
```
4
Lattice="5.1512 0.0000 0.0000 0.0000 5.1611 0.0000 0.0000 0.0000 4.4791" Properties=species:S:1:pos:R:3 pbc="T T T"
Ba 0.0000 0.0000 0.0000
Sc 2.5756 2.5805 2.4294
As 0.0000 2.5805 2.1689
As 2.5756 0.0000 2.1810
```

Results
ΔE_f: -0.973 eV/atom
Raw total energy: -98.062 eV/cell

***

11.
## MgSe2IBr (meta-GGA SCAN)

Data for MgSe2IBr at its PBEsol-relaxed geometry.

extended XYZ file:
```
5
Lattice="5.1632 0.0000 0.0000 0.0000 5.1632 0.0000 0.0000 0.0000 4.8716" Properties=species:S:1:pos:R:3 pbc="T T T"
Mg 0.0000 0.0000 0.0000
Se 0.0000 2.5816 0.0000
Se 2.5816 0.0000 0.0000
I 2.5816 2.5816 2.4358
Br 0.0000 0.0000 2.4358
```

Results
Raw total energy: -101.702 eV/cell
Formation energy (no corrections): -0.37 eV/f.u.

***

12.
## GeTe2As (meta-GGA SCAN)

Data for GeTe2As at its PBEsol-relaxed geometry.

extended XYZ file:
```
4
Lattice="1.5795 0.9119 10.9805 -1.5795 0.9119 10.9805 0.0000 -1.8239 10.9805" Properties=species:S:1:pos:R:3 pbc="T T T"
Ge 0.0000 0.0000 0.0000
Te 0.0000 0.0000 2.8718
Te 0.0000 0.0000 30.0698
As 0.0000 0.0000 16.4708
```

Results
Raw total energy: -111.792 eV/cell
Formation energy (no corrections): 1.99 eV/f.u.

***

13.
## CsHgAs2Pt (meta-GGA SCAN)

Data for CsHgAs2Pt at its PBEsol-relaxed geometry.

extended XYZ file:
```
5
Lattice="5.2165 0.0000 0.0000 0.0000 5.2165 0.0000 0.0000 0.0000 5.2238" Properties=species:S:1:pos:R:3 pbc="T T T"
Cs 0.0000 0.0000 0.0000
Hg 2.6082 2.6082 2.6119
As 0.0000 2.6082 2.6119
As 2.6082 0.0000 2.6119
Pt 2.6082 2.6082 0.0000
```

Results
ΔE_f: 0.629 eV/atom
Raw total energy: -213.406 eV/cell

***

14.
## RbLi3Rh (meta-GGA SCAN)

Data for RbLi3Rh at its PBEsol-relaxed geometry.

extended XYZ file:
```
5
Lattice="4.9194 0.0000 0.0000 0.0000 4.9194 0.0000 0.0000 0.0000 4.9194" Properties=species:S:1:pos:R:3 pbc="T T T"
Rb 0.0000 0.0000 0.0000
Li 0.0000 2.4597 2.4597
Li 2.4597 0.0000 2.4597
Li 2.4597 2.4597 0.0000
Rh 2.4597 2.4597 2.4597
```

Results
ΔE_f: 0.170 eV/atom
Raw total energy: -60.831 eV/cell

***

15.
## TiPt3Rh (meta-GGA SCAN)

Data for TiPt3Rh at its PBEsol-relaxed geometry.

extended XYZ file:
```
5
Lattice="4.5267 0.0000 0.0000 0.0000 4.5267 0.0000 0.0000 0.0000 4.5267" Properties=species:S:1:pos:R:3 pbc="T T T"
Ti 0.0000 0.0000 0.0000
Pt 0.0000 0.0000 2.2634
Pt 0.0000 2.2634 0.0000
Pt 2.2634 0.0000 0.0000
Rh 2.2634 2.2634 2.2634
```

Results
ΔE_f: 0.898 eV/atom
Raw total energy: -255.891 eV/cell

***

16.
## CaAlHg (meta-GGA SCAN)

Data for CaAlHg at its PBEsol-relaxed geometry.

extended XYZ file:
```
3
Lattice="4.6698 0.0000 0.0000 -2.3349 4.0442 0.0000 0.0000 0.0000 3.5977" Properties=species:S:1:pos:R:3 pbc="T T T"
Ca 0.0000 0.0000 0.0000
Al 0.0000 2.6961 1.7988
Hg 2.3349 1.3481 1.7988
```

Results
ΔE_f: -0.540 eV/atom
Raw total energy: -87.200 eV/cell

***

17.
## K2TaAs (meta-GGA SCAN)

Data for K2TaAs at its PBEsol-relaxed geometry.

extended XYZ file:
```
4
Lattice="-1.9709 1.9709 5.8546 1.9709 -1.9709 5.8546 1.9709 1.9709 -5.8546" Properties=species:S:1:pos:R:3 pbc="T T T"
K 1.9709 0.0000 2.9273
K 0.0000 1.9709 2.9273
Ta 0.0000 0.0000 0.0000
As 0.0000 0.0000 5.8546
```

Results
ΔE_f: 0.724 eV/atom
Raw total energy: -100.535 eV/cell

***

18.
## TlCr3O8 (meta-GGA SCAN)

Data for TlCr3O8 at its PBEsol-relaxed geometry.

extended XYZ file:
```
12
Lattice="4.3199 -2.7115 0.0000 4.3199 2.7115 0.0000 -0.6073 0.0000 7.6474" Properties=species:S:1:pos:R:3 pbc="T T T"
Tl 0.0000 0.0000 0.0000
Cr -0.3037 0.0000 3.8237
Cr 2.7639 0.0000 5.3813
Cr 5.2686 0.0000 2.2661
O 1.5229 0.0000 4.2960
O 3.7013 1.3794 5.1694
O 4.3311 1.3794 2.4780
O 2.2251 0.0000 6.8997
O 5.8073 0.0000 0.7477
O 3.7013 -1.3794 5.1694
O 4.3311 -1.3794 2.4780
O 6.5095 0.0000 3.3514
```

Results
Raw total energy: -200.479 eV/cell
Formation energy (no corrections): -23.12 eV/f.u.

***

19.
## IrWCl2 (meta-GGA SCAN)

Data for IrWCl2 at its PBEsol-relaxed geometry.

extended XYZ file:
```
4
Lattice="1.4703 0.8489 9.0588 -1.4703 0.8489 9.0588 0.0000 -1.6977 9.0588" Properties=species:S:1:pos:R:3 pbc="T T T"
Ir 0.0000 0.0000 0.0000
W 0.0000 0.0000 7.0340
Cl 0.0000 0.0000 14.2579
Cl 0.0000 0.0000 20.1611
```

Results
Raw total energy: -156.416 eV/cell
Formation energy (no corrections): 0.33 eV/f.u.

***

20.
## Co7W6 (meta-GGA SCAN)

Data for Co7W6 at its PBEsol-relaxed geometry.

extended XYZ file:
```
13
Lattice="2.3467 1.3549 8.4320 -2.3467 1.3549 8.4320 0.0000 -2.7098 8.4320" Properties=species:S:1:pos:R:3 pbc="T T T"
Co 0.0000 0.0000 0.0000
Co 0.0000 -1.3543 6.4947
Co -1.1729 0.6771 6.4947
Co -1.1729 -0.6771 18.8012
Co 1.1729 0.6771 6.4947
Co 1.1729 -0.6771 18.8012
Co 0.0000 1.3543 18.8012
W 0.0000 0.0000 4.1931
W 0.0000 0.0000 8.7656
W 0.0000 0.0000 11.3866
W 0.0000 0.0000 13.9092
W 0.0000 0.0000 16.5303
W 0.0000 0.0000 21.1028
```

Results
ΔE_f: 0.093 eV/atom
Raw total energy: -538.044 eV/cell

***

21.
## TaTl2As (meta-GGA SCAN)

Data for TaTl2As at its PBEsol-relaxed geometry.

extended XYZ file:
```
4
Lattice="3.0463 0.0000 0.0000 0.0000 3.0463 0.0000 0.0000 0.0000 9.1008" Properties=species:S:1:pos:R:3 pbc="T T T"
Ta 0.0000 0.0000 0.0000
Tl 1.5232 1.5232 2.2125
Tl 1.5232 1.5232 6.8883
As 0.0000 0.0000 4.5504
```

Results
ΔE_f: 0.712 eV/atom
Raw total energy: -228.643 eV/cell

***

22.
## PbC (meta-GGA SCAN)

Data for PbC at its PBEsol-relaxed geometry.

extended XYZ file:
```
2
Lattice="0.0000 2.6363 2.6363 2.6363 0.0000 2.6363 2.6363 2.6363 0.0000" Properties=species:S:1:pos:R:3 pbc="T T T"
Pb 0.0000 0.0000 0.0000
C 1.3182 1.3182 1.3182
```

Results
ΔE_f: 1.500 eV/atom
Raw total energy: -82.882 eV/cell

***

23.
## BPdCl2 (meta-GGA SCAN)

Data for BPdCl2 at its PBEsol-relaxed geometry.

extended XYZ file:
```
4
Lattice="1.5349 0.8862 8.1091 -1.5349 0.8862 8.1091 0.0000 -1.7723 8.1091" Properties=species:S:1:pos:R:3 pbc="T T T"
B 0.0000 0.0000 0.0000
Pd 0.0000 0.0000 12.1636
Cl 0.0000 0.0000 1.6808
Cl 0.0000 0.0000 22.6465
```

Results
Raw total energy: -54.018 eV/cell
Formation energy (no corrections): 2.14 eV/f.u.

***

24.
## RbBi2 (meta-GGA SCAN)

Data for RbBi2 at its PBEsol-relaxed geometry.

extended XYZ file:
```
6
Lattice="0.0000 4.7673 4.7673 4.7673 0.0000 4.7673 4.7673 4.7673 0.0000" Properties=species:S:1:pos:R:3 pbc="T T T"
Rb 1.1918 1.1918 1.1918
Rb 8.3428 8.3428 8.3428
Bi 4.7673 2.3836 2.3836
Bi 2.3836 4.7673 2.3836
Bi 2.3836 2.3836 4.7673
Bi 4.7673 4.7673 4.7673
```

Results
ΔE_f: -0.372 eV/atom
Raw total energy: -358.031 eV/cell

***

25.
## ZrSc (meta-GGA SCAN)

Data for ZrSc at its PBEsol-relaxed geometry.

extended XYZ file:
```
4
Lattice="3.1619 0.0000 0.0000 0.0000 3.1619 0.0000 0.0000 0.0000 9.0889" Properties=species:S:1:pos:R:3 pbc="T T T"
Zr 0.7905 0.7905 1.1215
Zr 2.3714 2.3714 7.9675
Sc 0.7905 0.7905 5.7735
Sc 2.3714 2.3714 3.3155
```

Results
ΔE_f: 0.048 eV/atom
Raw total energy: -89.680 eV/cell

***

26.
## ZrAgP2S (meta-GGA SCAN)

Data for ZrAgP2S at its PBEsol-relaxed geometry.

extended XYZ file:
```
5
Lattice="4.9825 0.0000 0.0000 0.0000 4.9825 0.0000 0.0000 0.0000 4.8449" Properties=species:S:1:pos:R:3 pbc="T T T"
Zr 0.0000 0.0000 0.0000
Ag 2.4912 2.4912 2.4225
P 0.0000 2.4912 0.0000
P 2.4912 0.0000 0.0000
S 0.0000 0.0000 2.4225
```

Results
Raw total energy: -91.373 eV/cell
Formation energy (no corrections): 1.12 eV/f.u.

***

27.
## Sr2CaBi2 (meta-GGA SCAN)

Data for Sr2CaBi2 at its PBEsol-relaxed geometry.

extended XYZ file:
```
10
Lattice="8.8901 0.0000 0.0000 0.0000 8.8901 0.0000 0.0000 0.0000 4.5189" Properties=species:S:1:pos:R:3 pbc="T T T"
Sr 1.2397 3.2053 0.0000
Sr 3.2053 7.6504 0.0000
Sr 5.6848 1.2397 0.0000
Sr 7.6504 5.6848 0.0000
Ca 0.0000 0.0000 2.2594
Ca 4.4451 4.4451 2.2594
Bi 1.4800 5.9250 2.2594
Bi 2.9651 1.4800 2.2594
Bi 5.9250 7.4102 2.2594
Bi 7.4102 2.9651 2.2594
```

Results
ΔE_f: -0.871 eV/atom
Raw total energy: -431.453 eV/cell